Entry 1:
This record from Alexandria describes a geometry-optimized Ge2RhCl2 structure. The functional is PBE.

Cell: 6.885 6.885 4.920 Å, 90.00 90.00 90.00°
Space group P4/mbm (No. 127)
Inequivalent atoms, fractional coordinates:
Ge (0.249, 0.251, 0.000)
Rh (0.000, 0.000, 0.000)
Cl (0.177, 0.323, 0.500)

Energy relative to the lowest polymorph listed for this composition = 0.000 eV/atom
Mass density = 4.54 g/cm3

Entry 2:
This record from Alexandria describes a geometry-optimized AlTl4Br7 structure. The functional is PBE.

Cell: 16.815 5.304 10.754 Å, 90.00 107.27 90.00°
Space group C2/m (No. 12)
Inequivalent atoms, fractional coordinates:
Al (0.000, 0.000, 0.000)
Tl (0.023, 0.500, 0.711)
Tl (0.241, 0.500, 0.307)
Br (0.000, 0.500, 0.000)
Br (0.098, 0.000, 0.224)
Br (0.119, 0.000, 0.906)
Br (0.156, 0.500, 0.539)

Mass density = 5.09 g/cm3

Calculated total energy, -4.1950; -2.9742 eV/atom (same order as the records).
Calculated energy relative to the elements, uncorrected, -0.139; -0.898 eV/atom (same order as the records).
Calculated total magnetization, 0.166; 0.000 μB per atom (same order as the records).